Record 1
Computed, not measured: a relaxed structure of ZrPdAu2 at the GGA-PBE level of DFT.

Cell lengths 7.608, 7.608, 6.037 Å; angles 50.94, 50.94, 90.00 degrees
Fractional positions:
Pd1 0.750 0.250 0.500
Pd2 0.000 0.000 0.000
Au1 0.118 0.625 0.250
Au2 0.375 0.368 0.750
Au3 0.632 0.125 0.250
Au4 0.875 0.882 0.750
Zr1 0.500 0.500 0.000
Zr2 0.250 0.750 0.500

Results
**Fermi-level density of states**: 3.996 states/eV per cell
**Total energy**: -41.58 eV/cell

---

Record 2
Computed, not measured: a relaxed structure of Zr2Pd2Au5 at the GGA-PBE level of DFT.

Cell lengths 7.895, 6.192, 8.872 Å; angles 110.42, 116.42, 90.00 degrees
Fractional positions:
Pd1 0.000 0.860 0.000
Pd2 0.257 0.494 0.500
Pd3 0.743 0.994 0.500
Pd4 0.500 0.360 0.000
Zr1 0.337 0.920 0.755
Zr2 0.082 0.665 0.245
Zr3 0.918 0.420 0.755
Zr4 0.663 0.165 0.245
Au1 0.321 0.730 0.991
Au2 0.170 0.230 0.991
Au3 0.830 0.239 0.009
Au4 0.083 0.111 0.500
Au5 0.917 0.611 0.500
Au6 0.652 0.749 0.682
Au7 0.679 0.739 0.009
Au8 0.530 0.249 0.682
Au9 0.470 0.567 0.318
Au10 0.348 0.067 0.318

Results
**Fermi-level density of states**: 7.836 states/eV per cell
**Total energy**: -92.22 eV/cell